# TbTm2In3AgPd2

A geometry-optimized TbTm2In3AgPd2 structure (PBE-GGA, OQMD).

Cell and atoms, written as POSCAR:
```
TbTm2In3AgPd2
1.0
-1.8443 1.5017 -2.9070
-6.5492 -3.6087 2.2910
1.6584 7.1684 2.6509
Tm In Pd Ag Tb
2 3 2 1 1
direct
0.5000 0.0002 0.5921
0.5000 0.5921 0.0002
0.0000 0.2695 0.9988
0.0000 0.9988 0.2695
0.0000 0.7305 0.7305
0.0000 0.3323 0.6692
0.0000 0.6692 0.3323
0.5000 0.9995 0.9995
0.5000 0.4080 0.4080
```

## Properties
For the calculated volume, the calculation gives 22.1 Å³/atom. The calculation puts the total magnetization at 0.002 μB per atom. The total energy comes out at -41.138 eV/f.u. As for the space group: Amm2.